## SrBeOs2 (PBE)

Data for SrBeOs2 after structural relaxation.

Computed properties:
electronic total energy: -5.7838 eV per atom
formation energy: 1183 meV per atom
spin magnetization: 0.0 μB/f.u.

CIF file:
```
data_SrBeOs2
_cell_length_a 3.931
_cell_length_b 3.931
_cell_length_c 8.923
_cell_angle_alpha 90.00
_cell_angle_beta 90.00
_cell_angle_gamma 90.00
_space_group_name_H-M_alt 'I 4/m m m'
_space_group_IT_number 139
_space_group_name_Hall '-I 4 2'
loop_
_atom_site_label
_atom_site_type_symbol
_atom_site_fract_x
_atom_site_fract_y
_atom_site_fract_z
Sr1 Sr 0.000 0.000 0.000
Be1 Be 0.000 0.000 0.500
Os1 Os 0.000 0.500 0.250
```

=====

## SrBeOs2 (PBE)

Data for SrBeOs2 after structural relaxation.

Computed properties:
electronic total energy: -5.8645 eV per atom
formation energy: 1102 meV per atom
spin magnetization: 0.0 μB/f.u.

CIF file:
```
data_SrBeOs2
_cell_length_a 3.886
_cell_length_b 3.886
_cell_length_c 4.528
_cell_angle_alpha 90.00
_cell_angle_beta 90.00
_cell_angle_gamma 90.00
_space_group_name_H-M_alt 'P 4/m m m'
_space_group_IT_number 123
_space_group_name_Hall '-P 4 2'
loop_
_atom_site_label
_atom_site_type_symbol
_atom_site_fract_x
_atom_site_fract_y
_atom_site_fract_z
Sr1 Sr 0.000 0.000 0.000
Be1 Be 0.500 0.500 0.000
Os1 Os 0.000 0.500 0.500
```

=====

## SrBeOs2 (PBE)

Data for SrBeOs2 after structural relaxation.

Computed properties:
electronic total energy: -6.3312 eV per atom
formation energy: 636 meV per atom
spin magnetization: 0.0 μB/f.u.

CIF file:
```
data_SrBeOs2
_cell_length_a 2.721
_cell_length_b 4.857
_cell_length_c 9.730
_cell_angle_alpha 90.00
_cell_angle_beta 90.00
_cell_angle_gamma 90.00
_space_group_name_H-M_alt 'I m m m'
_space_group_IT_number 71
_space_group_name_Hall '-I 2 2'
loop_
_atom_site_label
_atom_site_type_symbol
_atom_site_fract_x
_atom_site_fract_y
_atom_site_fract_z
Sr1 Sr 0.000 0.000 0.000
Be1 Be 0.000 0.000 0.500
Os1 Os 0.000 0.500 0.207
```

=====

## SrBeOs2 (PBE)

Data for SrBeOs2 after structural relaxation.

Computed properties:
electronic total energy: -6.5638 eV per atom
formation energy: 403 meV per atom
spin magnetization: 0.0 μB/f.u.

CIF file:
```
data_SrBeOs2
_cell_length_a 2.985
_cell_length_b 2.985
_cell_length_c 7.558
_cell_angle_alpha 90.00
_cell_angle_beta 90.00
_cell_angle_gamma 90.00
_space_group_name_H-M_alt 'P 4 m m'
_space_group_IT_number 99
loop_
_space_group_symop_operation_xyz
'x,y,z'
'-y,x,z'
'-x,-y,z'
'y,-x,z'
'-x,y,z'
'y,x,z'
'x,-y,z'
'-y,-x,z'
loop_
_atom_site_label
_atom_site_type_symbol
_atom_site_fract_x
_atom_site_fract_y
_atom_site_fract_z
Sr1 Sr 0.000 0.000 0.000
Be1 Be 0.500 0.500 0.327
Os1 Os 0.000 0.000 0.466
Os2 Os 0.500 0.500 0.680
```

=====

## SrBeOs2 (PBE)

Data for SrBeOs2 after structural relaxation.

Computed properties:
electronic total energy: -5.8111 eV per atom
formation energy: 1156 meV per atom
spin magnetization: 0.0 μB/f.u.

CIF file:
```
data_SrBeOs2
_cell_length_a 5.732
_cell_length_b 9.123
_cell_length_c 2.613
_cell_angle_alpha 90.00
_cell_angle_beta 90.00
_cell_angle_gamma 90.00
_space_group_name_H-M_alt 'C m m m'
_space_group_IT_number 65
_space_group_name_Hall '-C 2 2'
loop_
_atom_site_label
_atom_site_type_symbol
_atom_site_fract_x
_atom_site_fract_y
_atom_site_fract_z
Sr1 Sr 0.000 0.000 0.000
Be1 Be 0.000 0.500 0.000
Os1 Os 0.250 0.250 0.500
```

=====

## Sr2Be2Os (PBE)

Data for Sr2Be2Os after structural relaxation.

Computed properties:
electronic total energy: -3.1691 eV per atom
energy above the lowest structure with this stoichiometry: 430.4 meV per atom
formation energy: 1240 meV per atom
spin magnetization: 0.0 μB/f.u.

CIF file:
```
data_Sr2Be2Os
_cell_length_a 8.523
_cell_length_b 8.523
_cell_length_c 2.959
_cell_angle_alpha 90.00
_cell_angle_beta 90.00
_cell_angle_gamma 90.00
_space_group_name_H-M_alt 'P 4/m b m'
_space_group_IT_number 127
_space_group_name_Hall '-P 4 2ab'
loop_
_atom_site_label
_atom_site_type_symbol
_atom_site_fract_x
_atom_site_fract_y
_atom_site_fract_z
Sr1 Sr 0.199 0.301 0.000
Be1 Be 0.088 0.588 0.500
Os1 Os 0.000 0.000 0.000
```

=====

## SrBeOs2 (PBE)

Data for SrBeOs2 after structural relaxation.

Computed properties:
electronic total energy: -6.5561 eV per atom
formation energy: 411 meV per atom
spin magnetization: 0.0 μB/f.u.

CIF file:
```
data_SrBeOs2
_cell_length_a 2.930
_cell_length_b 4.081
_cell_length_c 6.363
_cell_angle_alpha 90.00
_cell_angle_beta 103.30
_cell_angle_gamma 90.00
_space_group_name_H-M_alt 'P 1 m 1'
_space_group_IT_number 6
loop_
_space_group_symop_operation_xyz
'x,y,z'
'x,-y,z'
loop_
_atom_site_label
_atom_site_type_symbol
_atom_site_fract_x
_atom_site_fract_y
_atom_site_fract_z
Sr1 Sr 0.000 0.000 0.000
Be1 Be 0.653 0.500 0.306
Os1 Os 0.301 0.500 0.602
Os2 Os 0.740 0.000 0.476
```

=====

## SrBeOs4 (PBE)

Data for SrBeOs4 after structural relaxation.

Computed properties:
electronic total energy: -7.6219 eV per atom
formation energy: 766 meV per atom
spin magnetization: 0.0 μB/f.u.

CIF file:
```
data_SrBeOs4
_cell_length_a 7.478
_cell_length_b 7.478
_cell_length_c 7.478
_cell_angle_alpha 90.00
_cell_angle_beta 90.00
_cell_angle_gamma 90.00
_space_group_name_H-M_alt 'F -4 3 m'
_space_group_IT_number 216
_space_group_name_Hall 'F -4 2 3'
loop_
_atom_site_label
_atom_site_type_symbol
_atom_site_fract_x
_atom_site_fract_y
_atom_site_fract_z
Sr1 Sr 0.000 0.000 0.000
Be1 Be 0.250 0.250 0.750
Os1 Os 0.124 0.124 0.376
```

=====

## SrBeOs2 (PBE)

Data for SrBeOs2 after structural relaxation.

Computed properties:
electronic total energy: -6.0913 eV per atom
formation energy: 876 meV per atom
spin magnetization: 0.0 μB/f.u.

CIF file:
```
data_SrBeOs2
_cell_length_a 2.895
_cell_length_b 5.092
_cell_length_c 9.733
_cell_angle_alpha 90.00
_cell_angle_beta 90.00
_cell_angle_gamma 90.00
_space_group_name_H-M_alt 'I m m 2'
_space_group_IT_number 44
loop_
_space_group_symop_operation_xyz
'x,y,z'
'-x,-y,z'
'-x,y,z'
'x,-y,z'
'x+1/2,y+1/2,z+1/2'
'-x+1/2,-y+1/2,z+1/2'
'-x+1/2,y+1/2,z+1/2'
'x+1/2,-y+1/2,z+1/2'
loop_
_atom_site_label
_atom_site_type_symbol
_atom_site_fract_x
_atom_site_fract_y
_atom_site_fract_z
Sr1 Sr 0.000 0.000 0.000
Be1 Be 0.000 0.500 0.794
Os1 Os 0.000 0.000 0.489
Os2 Os 0.000 0.500 0.205
```

=====

## Sr3BeOs (PBE)

Data for Sr3BeOs after structural relaxation.

Computed properties:
electronic total energy: -3.1415 eV per atom
energy above the lowest structure with this stoichiometry: 0.0 meV per atom
formation energy: 859 meV per atom
spin magnetization: 0.0 μB/f.u.

CIF file:
```
data_Sr3BeOs
_cell_length_a 5.749
_cell_length_b 5.749
_cell_length_c 5.749
_cell_angle_alpha 90.00
_cell_angle_beta 90.00
_cell_angle_gamma 90.00
_space_group_name_H-M_alt 'P m -3 m'
_space_group_IT_number 221
_space_group_name_Hall '-P 4 2 3'
loop_
_atom_site_label
_atom_site_type_symbol
_atom_site_fract_x
_atom_site_fract_y
_atom_site_fract_z
Sr1 Sr 0.000 0.000 0.500
Be1 Be 0.500 0.500 0.500
Os1 Os 0.000 0.000 0.000
```

=====

## SrBeOs2 (PBE)

Data for SrBeOs2 after structural relaxation.

Computed properties:
electronic total energy: -6.2784 eV per atom
formation energy: 689 meV per atom
spin magnetization: 0.0 μB/f.u.

CIF file:
```
data_SrBeOs2
_cell_length_a 4.673
_cell_length_b 4.673
_cell_length_c 16.326
_cell_angle_alpha 90.00
_cell_angle_beta 90.00
_cell_angle_gamma 90.00
_space_group_name_H-M_alt 'I -4 2 d'
_space_group_IT_number 122
_space_group_name_Hall 'I -4 2bw'
loop_
_atom_site_label
_atom_site_type_symbol
_atom_site_fract_x
_atom_site_fract_y
_atom_site_fract_z
Sr1 Sr 0.000 0.000 0.000
Be1 Be 0.000 0.000 0.500
Os1 Os 0.049 0.750 0.625
```

=====

## SrBeOs2 (PBE)

Data for SrBeOs2 after structural relaxation.

Computed properties:
electronic total energy: -5.9411 eV per atom
formation energy: 1026 meV per atom
spin magnetization: 0.0 μB/f.u.

CIF file:
```
data_SrBeOs2
_cell_length_a 5.552
_cell_length_b 9.579
_cell_length_c 2.789
_cell_angle_alpha 90.00
_cell_angle_beta 116.61
_cell_angle_gamma 90.00
_space_group_name_H-M_alt 'C 1 2/m 1'
_space_group_IT_number 12
loop_
_space_group_symop_operation_xyz
'x,y,z'
'-x,-y,-z'
'-x,y,-z'
'x,-y,z'
'x+1/2,y+1/2,z'
'-x+1/2,-y+1/2,-z'
'-x+1/2,y+1/2,-z'
'x+1/2,-y+1/2,z'
loop_
_atom_site_label
_atom_site_type_symbol
_atom_site_fract_x
_atom_site_fract_y
_atom_site_fract_z
Sr1 Sr 0.000 0.000 0.000
Be1 Be 0.000 0.500 0.000
Os1 Os 0.250 0.250 0.500
```